# 1
Compound: ErMnInHg
Source: Alexandria via LeMat-Bulk
Functional: PBE-GGA
Structure: optimized geometry

It has space group F-43m (No. 216), with a = 7.052 Å, b = 7.052 Å, c = 7.052 Å, α = 90.00°, β = 90.00° and γ = 90.00°. The asymmetric unit holds Er at (0.000, 0.000, 0.000), Mn at (0.000, 0.000, 0.500), In at (0.250, 0.250, 0.750) and Hg at (0.250, 0.250, 0.250).

The value obtained for the density is 10.182 g/cm³. As for the crystal system: cubic.



# 2
Compound: NaErInHg
Source: Alexandria via LeMat-Bulk
Functional: PBE-GGA
Structure: optimized geometry

It has space group P4mm (No. 99), with a = 3.703 Å, b = 3.703 Å, c = 7.522 Å, α = 90.00°, β = 90.00° and γ = 90.00°. The asymmetric unit holds Na at (0.000, 0.000, 0.000), Er at (0.000, 0.000, 0.516), In at (0.500, 0.500, 0.262) and Hg at (0.500, 0.500, 0.750).

The value obtained for the density is 8.141 g/cm³. As for the crystal system: tetragonal.



# 3
Compound: NaErInHg
Source: Alexandria via LeMat-Bulk
Functional: PBE-GGA
Structure: optimized geometry

It has space group F-43m (No. 216), with a = 7.366 Å, b = 7.366 Å, c = 7.366 Å, α = 90.00°, β = 90.00° and γ = 90.00°. The asymmetric unit holds Na at (0.000, 0.000, 0.000), Er at (0.000, 0.000, 0.500), In at (0.250, 0.250, 0.750) and Hg at (0.250, 0.250, 0.250).

The value obtained for the density is 8.402 g/cm³. As for the crystal system: cubic.



# 4
Compound: NdEr2In2Hg2
Source: Alexandria via LeMat-Bulk
Functional: PBE-GGA
Structure: optimized geometry

It has space group R-3m (No. 166, hexagonal axes), with a = 4.9546 Å, b = 4.9546 Å, c = 26.6648 Å, α = 90.00°, β = 90.00° and γ = 120.00°. The asymmetric unit holds Nd at (0.0000, 0.0000, 0.0000), Er at (0.0000, 0.0000, 0.1327), In at (0.0000, 0.0000, 0.2656) and Hg at (0.0000, 0.0000, 0.4323).

The value obtained for the density is 9.751 g/cm³. As for the crystal system: trigonal.



# 5
Compound: ErIn4HgO8
Source: Alexandria via LeMat-Bulk
Functional: PBE-GGA
Structure: optimized geometry

It has space group R3m (No. 160, hexagonal axes), with a = 6.6444 Å, b = 6.6444 Å, c = 16.5423 Å, α = 90.00°, β = 90.00° and γ = 120.00°. The asymmetric unit holds Er at (0.0000, 0.0000, 0.0000), In at (0.0000, 0.0000, 0.3760), In at (0.0012, 0.5006, 0.5012), Hg at (0.0000, 0.0000, 0.6274), O at (0.0000, 0.0000, 0.2389), O at (0.0000, 0.0000, 0.7678), O at (0.0241, 0.5120, 0.7552) and O at (0.1865, 0.3730, 0.5779).

The uncorrected formation energy is -1.6705 eV per atom. The value obtained for the density is 7.523 g/cm³. As for the crystal system: trigonal.



# 6
Compound: ErPaInHg
Source: Alexandria via LeMat-Bulk
Functional: PBE-GGA
Structure: optimized geometry

It has space group F-43m (No. 216), with a = 7.474 Å, b = 7.474 Å, c = 7.474 Å, α = 90.00°, β = 90.00° and γ = 90.00°. The asymmetric unit holds Er at (0.000, 0.000, 0.000), Pa at (0.000, 0.000, 0.500), In at (0.250, 0.250, 0.750) and Hg at (0.250, 0.250, 0.250).

The value obtained for the density is 11.352 g/cm³. As for the crystal system: cubic.



Number 1: final energy -4.277 eV/atom, Fermi-level density of states 15.932 states/eV per cell. Number 2: final energy -2.519 eV/atom, Fermi-level density of states 2.099 states/eV per cell. Number 3: final energy -2.516 eV/atom, Fermi-level density of states 10.368 states/eV per cell. Number 4: final energy -3.148 eV/atom, Fermi-level density of states 13.046 states/eV per cell. Number 5: final energy -5.634 eV/atom, Fermi-level density of states 4.184 states/eV per cell. Number 6: final energy -4.335 eV/atom, Fermi-level density of states 32.438 states/eV per cell.